Record 1
Crystalline LaTlZnTe3 at its relaxed geometry. Source: OQMD via LeMat-Bulk, functional PBE.

Output
Calculated volume, Å³/cell: 435.0
Space-group type: P2_1/m
Energy above the lowest structure with this stoichiometry, eV/atom: 0.025

```
LaTlZnTe3
1.0
8.9776 0.0000 0.0000
0.0000 4.5040 0.0000
-3.0678 0.0000 10.7569
La Tl Zn Te
2 2 2 6
Direct
0.2004 0.2500 0.1396 La
0.7996 0.7500 0.8604 La
0.2351 0.7500 0.7033 Tl
0.7649 0.2500 0.2967 Tl
0.4241 0.7500 0.3902 Zn
0.5759 0.2500 0.6098 Zn
0.0492 0.2500 0.8444 Te
0.2799 0.2500 0.4482 Te
0.4617 0.7500 0.1625 Te
0.5383 0.2500 0.8375 Te
0.7201 0.7500 0.5518 Te
0.9508 0.7500 0.1556 Te
```

***

Record 2
Crystalline LaTmTe at its relaxed geometry. Source: OQMD via LeMat-Bulk, functional PBE.

Output
Calculated volume, Å³/cell: 99.4
Space-group type: F-43m
Energy above the lowest structure with this stoichiometry, eV/atom: 0.000

```
LaTmTe
1.0
0.0000 3.6767 3.6767
3.6767 0.0000 3.6767
3.6767 3.6767 0.0000
La Tm Te
1 1 1
Direct
0.0000 0.0000 0.0000 La
0.5000 0.5000 0.5000 Tm
0.2500 0.2500 0.2500 Te
```

***

Record 3
Crystalline LaTm2Te3 at its relaxed geometry. Source: OQMD via LeMat-Bulk, functional PBE.

Output
Total energy, eV per formula unit: -31.2
Calculated volume, Å³/cell: 180.0
Space-group type: P-3m1

```
LaTm2Te3
1.0
4.3444 0.0000 0.0000
-2.1722 3.7624 0.0000
0.0000 0.0000 11.0119
La Tm Te
1 2 3
Direct
0.0000 0.0000 0.0000 La
0.3333 0.6667 0.6609 Tm
0.6667 0.3333 0.3391 Tm
0.0000 0.0000 0.5000 Te
0.3333 0.6667 0.1864 Te
0.6667 0.3333 0.8136 Te
```

***

Record 4
Crystalline LaTeW at its relaxed geometry. Source: OQMD via LeMat-Bulk, functional PBE.

Output
Calculated volume, Å³/cell: 103.0
Space-group type: F-43m
Energy above the lowest structure with this stoichiometry, eV/atom: 0.651

```
LaTeW
1.0
0.0000 3.7206 3.7206
3.7206 0.0000 3.7206
3.7206 3.7206 0.0000
La Te W
1 1 1
Direct
0.0000 0.0000 0.0000 La
0.7500 0.7500 0.7500 Te
0.2500 0.2500 0.2500 W
```

***

Record 5
Crystalline LaYZnTe3 at its relaxed geometry. Source: OQMD via LeMat-Bulk, functional PBE.

Output
Total energy, eV per formula unit: -28.4
Calculated volume, Å³/cell: 349.4
Space-group type: Cmcm

```
LaYZnTe3
1.0
2.1289 -7.6802 0.0000
2.1289 7.6802 0.0000
0.0000 0.0000 10.6838
La Y Zn Te
2 2 2 6
Direct
0.2260 0.7740 0.7500 La
0.7740 0.2260 0.2500 La
0.0000 0.0000 0.0000 Y
0.0000 0.0000 0.5000 Y
0.4763 0.5237 0.2500 Zn
0.5237 0.4763 0.7500 Zn
0.1103 0.8897 0.2500 Te
0.3525 0.6475 0.0468 Te
0.3525 0.6475 0.4532 Te
0.6475 0.3525 0.5468 Te
0.6475 0.3525 0.9532 Te
0.8897 0.1103 0.7500 Te
```

***

Record 6
Crystalline LaZnTe2 at its relaxed geometry. Source: OQMD via LeMat-Bulk, functional PBE.

Output
Total energy, eV per formula unit: -15.2
Calculated volume, Å³/cell: 308.6
Space-group type: I-42d

```
LaZnTe2
1.0
-3.4773 3.4773 6.3801
3.4773 -3.4773 6.3801
3.4773 3.4773 -6.3801
La Zn Te
2 2 4
Direct
0.0000 0.0000 0.0000 La
0.7500 0.2500 0.5000 La
0.2500 0.7500 0.5000 Zn
0.5000 0.5000 0.0000 Zn
0.1727 0.1250 0.5477 Te
0.3750 0.8273 0.9523 Te
0.5773 0.6250 0.4523 Te
0.8750 0.4227 0.0477 Te
```

***

Record 7
Crystalline LaZnTe at its relaxed geometry. Source: OQMD via LeMat-Bulk, functional PBE.

Output
Calculated volume, Å³/cell: 100.1
Space-group type: F-43m
Energy above the lowest structure with this stoichiometry, eV/atom: 0.000

```
LaZnTe
1.0
0.0000 3.6855 3.6855
3.6855 0.0000 3.6855
3.6855 3.6855 0.0000
La Zn Te
1 1 1
Direct
0.0000 0.0000 0.0000 La
0.2500 0.2500 0.2500 Zn
0.7500 0.7500 0.7500 Te
```

***

Record 8
Crystalline LaThTl at its relaxed geometry. Source: OQMD via LeMat-Bulk, functional PBE.

Output
Calculated volume, Å³/cell: 108.0
Space-group type: F-43m
Energy above the lowest structure with this stoichiometry, eV/atom: 0.000

```
LaThTl
1.0
0.0000 3.7793 3.7793
3.7793 0.0000 3.7793
3.7793 3.7793 0.0000
La Th Tl
1 1 1
Direct
0.0000 0.0000 0.0000 La
0.5000 0.5000 0.5000 Th
0.2500 0.2500 0.2500 Tl
```

***

> What is the calculated volume in the third record?

180.0 Å³/cell

***

> What is the formula in the fifth record?

LaYZnTe3

***

> Which value of calculated volume does entry 2 give?

99.4 Å³/cell

***

Copy entry 2 word for word.
Crystalline LaTmTe at its relaxed geometry. Source: OQMD via LeMat-Bulk, functional PBE.

Output
Calculated volume, Å³/cell: 99.4
Space-group type: F-43m
Energy above the lowest structure with this stoichiometry, eV/atom: 0.000

```
LaTmTe
1.0
0.0000 3.6767 3.6767
3.6767 0.0000 3.6767
3.6767 3.6767 0.0000
La Tm Te
1 1 1
Direct
0.0000 0.0000 0.0000 La
0.5000 0.5000 0.5000 Tm
0.2500 0.2500 0.2500 Te
```